# LaSi2Se PBEsol relaxed
# Raw formation energy, eV/atom: -0.479
# Crystal system: monoclinic
data_LaSi2Se
_space_group_name_H-M_alt 'P 1'
_space_group_IT_number 1
_cell_length_a 3.977
_cell_length_b 4.408
_cell_length_c 5.191
_cell_angle_alpha 90.00
_cell_angle_beta 90.00
_cell_angle_gamma 91.09
loop_
_space_group_symop_operation_xyz
'x,y,z'
loop_
_atom_site_label
_atom_site_fract_x
_atom_site_fract_y
_atom_site_fract_z
La1 0.000 0.500 0.500
Se1 0.500 0.000 0.500
Si1 0.262 0.157 0.000
Si2 0.738 0.843 0.000

---

# LaSiSe2 PBEsol relaxed
# Raw formation energy, eV/atom: -0.769
# Crystal system: tetragonal
data_LaSiSe2
_space_group_name_H-M_alt 'P 1'
_space_group_IT_number 1
_cell_length_a 3.672
_cell_length_b 3.672
_cell_length_c 6.525
_cell_angle_alpha 90.00
_cell_angle_beta 90.00
_cell_angle_gamma 90.00
loop_
_space_group_symop_operation_xyz
'x,y,z'
loop_
_atom_site_label
_atom_site_fract_x
_atom_site_fract_y
_atom_site_fract_z
La1 0.500 0.500 0.500
Se1 0.000 0.000 0.757
Se2 0.000 0.000 0.243
Si1 0.500 0.500 0.000

---

# La2SiSe PBEsol relaxed
# Raw formation energy, eV/atom: -1.330
# Crystal system: trigonal
data_La2SiSe
_space_group_name_H-M_alt 'P 1'
_space_group_IT_number 1
_cell_length_a 4.306
_cell_length_b 4.306
_cell_length_c 7.498
_cell_angle_alpha 73.31
_cell_angle_beta 73.31
_cell_angle_gamma 60.00
loop_
_space_group_symop_operation_xyz
'x,y,z'
loop_
_atom_site_label
_atom_site_fract_x
_atom_site_fract_y
_atom_site_fract_z
Si1 0.000 0.000 0.000
Se1 0.500 0.500 0.500
La1 0.252 0.252 0.243
La2 0.748 0.748 0.757

---

| no. | DOS at the Fermi energy (states/eV/atom) | magnetic moment (μB per formula unit) |
| --- | --- | --- |
| 1 | 0.562 | 0.00 |
| 2 | 0.351 | 0.00 |
| 3 | 0.317 | 0.00 |